Entry 1:
Below is an optimized crystal structure of BaTi2ZnAg, with properties calculated at the PBE level.

Cell: 5.1349 6.1532 5.1349 Å, 90.00 90.00 90.00°
With the nearest neighbours (Å) after each atom.
Sites, in units of the cell vectors:
Ti 0.0000 0.0000 0.5000  2 Ag 2.57
Zn 0.5000 0.5000 0.5000  4 Ba 3.63, 8 Ti 4.01
Ba 0.0000 0.5000 0.0000  2 Ag 3.08
Ag 0.0000 0.0000 0.0000  4 Ti 2.57
Ti 0.5000 0.0000 0.0000  2 Ag 2.57

Calculated values
As for the energy above the lowest structure with this stoichiometry: 336 meV/atom. The formation enthalpy at 0 K comes out at 0.934 eV/atom. The value obtained for the density of states at the Fermi level is 6.6 states/eV per cell.



Entry 2:
Below is an optimized crystal structure of Ba2Tl3Ag, with properties calculated at the PBE level.

Cell: 6.7564 6.7564 10.6802 Å, 113.26 113.26 75.62°
With the nearest neighbours (Å) after each atom.
Sites, in units of the cell vectors:
Tl 0.3434 0.3434 0.1719  1 Ag 2.99, 2 Tl 3.17-3.18
Ag 0.3331 0.3331 0.6661  3 Tl 2.98-2.99
Tl 0.8281 0.8281 0.6562  1 Ag 2.98, 2 Tl 3.17
Ag 0.6669 0.6669 0.3339  3 Tl 2.98-2.99
Tl 0.1714 0.1714 0.8281  1 Ag 2.99, 2 Tl 3.17-3.18
Ba 0.2500 0.7500 0.5000  8 Tl 3.67, 4 Ag 3.71
Ba 0.2501 0.7499 0.0000  10 Tl 3.68-3.80, 2 Ag 3.72
Tl 0.6566 0.6566 0.8281  1 Ag 2.99, 2 Tl 3.17-3.18
Tl 0.8286 0.8286 0.1719  1 Ag 2.99, 2 Tl 3.17-3.18
Ba 0.7500 0.2500 0.5000  8 Tl 3.67, 4 Ag 3.71
Tl 0.1719 0.1719 0.3438  1 Ag 2.98, 2 Tl 3.17
Ba 0.7499 0.2501 0.0000  10 Tl 3.68-3.80, 2 Ag 3.72

Calculated values
As for the energy above the lowest structure with this stoichiometry: 31 meV/atom. The formation enthalpy at 0 K comes out at -0.316 eV/atom. The value obtained for the density of states at the Fermi level is 8.8 states/eV per cell.



Entry 3:
Below is an optimized crystal structure of BaTl2Ag9, with properties calculated at the PBE level.

Cell: 5.7790 5.7790 9.9038 Å, 73.04 73.04 60.00°
With the nearest neighbours (Å) after each atom.
Sites, in units of the cell vectors:
Ag 0.9183 0.4142 0.2532  7 Ag 2.85-2.91
Ag 0.6667 0.6667 0.0000  6 Ag 2.88-2.90
Ba 0.0000 0.0000 0.0000  18 Ag 3.34-3.73
Ag 0.5000 0.5000 0.5000  6 Ag 2.85
Ag 0.3333 0.3333 0.0000  6 Ag 2.88-2.90
Tl 0.8564 0.8564 0.4307  12 Ag 3.33-3.40, 3 Tl 3.58
Ag 0.5858 0.5858 0.7468  7 Ag 2.85-2.91
Ag 0.5858 0.0817 0.7468  7 Ag 2.85-2.91
Ag 0.4142 0.9183 0.2532  7 Ag 2.85-2.91
Ag 0.4142 0.4142 0.2532  7 Ag 2.85-2.91
Ag 0.0817 0.5858 0.7468  7 Ag 2.85-2.91
Tl 0.1436 0.1436 0.5693  12 Ag 3.33-3.40, 3 Tl 3.58

Calculated values
The formation enthalpy at 0 K comes out at -0.041 eV/atom. The value obtained for the density of states at the Fermi level is 4.6 states/eV per cell.



Entry 4:
Below is an optimized crystal structure of BaTlAg3, with properties calculated at the PBE level.

Cell: 5.3856 5.3856 5.3856 Å, 90.00 90.00 90.00°
With the nearest neighbours (Å) after each atom.
Sites, in units of the cell vectors:
Ba 0.5000 0.5000 0.5000  12 Ag 3.81
Ag 0.5000 0.0000 0.0000  2 Tl 2.69
Ag 0.0000 0.0000 0.5000  2 Tl 2.69
Tl 0.0000 0.0000 0.0000  6 Ag 2.69
Ag 0.0000 0.5000 0.0000  2 Tl 2.69

Calculated values
As for the energy above the lowest structure with this stoichiometry: 222 meV/atom. The formation enthalpy at 0 K comes out at 0.065 eV/atom. The value obtained for the density of states at the Fermi level is 1.2 states/eV per cell.



Entry 5:
Below is an optimized crystal structure of Ba2TlAg2, with properties calculated at the PBE level.

Cell: 6.5279 6.5279 6.2767 Å, 58.67 58.67 90.00°
With the nearest neighbours (Å) after each atom.
Sites, in units of the cell vectors:
Ag 0.3439 0.3439 0.3121  1 Ag 2.66, 1 Tl 2.93
Ba 0.2500 0.7500 0.5000  4 Ag 3.36
Tl 0.0000 0.0000 0.0000  2 Ag 2.93
Ag 0.6561 0.6561 0.6879  1 Ag 2.66, 1 Tl 2.93
Ba 0.7500 0.2500 0.5000  4 Ag 3.36

Calculated values
As for the energy above the lowest structure with this stoichiometry: 144 meV/atom. The formation enthalpy at 0 K comes out at -0.165 eV/atom. The value obtained for the density of states at the Fermi level is 6.0 states/eV per cell.



Entry 6:
Below is an optimized crystal structure of BaTl8Ag2, with properties calculated at the PBE level.

Cell: 6.6308 6.6308 9.2564 Å, 90.00 90.00 90.00°
With the nearest neighbours (Å) after each atom.
Sites, in units of the cell vectors:
Ag 0.5000 0.0000 0.0000  8 Tl 3.00
Tl 0.7536 0.2464 0.2029  2 Ag 3.00, 4 Tl 3.27-3.36
Tl 0.2464 0.7536 0.7971  2 Ag 3.00, 4 Tl 3.27-3.36
Tl 0.7536 0.2464 0.7971  2 Ag 3.00, 4 Tl 3.27-3.36
Ag 0.0000 0.5000 0.0000  8 Tl 3.00
Tl 0.7536 0.7536 0.2029  2 Ag 3.00, 4 Tl 3.27-3.36
Tl 0.2464 0.2464 0.2029  2 Ag 3.00, 4 Tl 3.27-3.36
Ba 0.5000 0.5000 0.5000  8 Tl 3.64
Tl 0.2464 0.2464 0.7971  2 Ag 3.00, 4 Tl 3.27-3.36
Tl 0.7536 0.7536 0.7971  2 Ag 3.00, 4 Tl 3.27-3.36
Tl 0.2464 0.7536 0.2029  2 Ag 3.00, 4 Tl 3.27-3.36

Calculated values
The formation enthalpy at 0 K comes out at 0.101 eV/atom. The value obtained for the density of states at the Fermi level is 5.9 states/eV per cell.



Which of these has the lowest formation enthalpy at 0 K? Ba2Tl3Ag



Please write out number 4 again, unchanged.
Below is an optimized crystal structure of BaTlAg3, with properties calculated at the PBE level.

Cell: 5.3856 5.3856 5.3856 Å, 90.00 90.00 90.00°
With the nearest neighbours (Å) after each atom.
Sites, in units of the cell vectors:
Ba 0.5000 0.5000 0.5000  12 Ag 3.81
Ag 0.5000 0.0000 0.0000  2 Tl 2.69
Ag 0.0000 0.0000 0.5000  2 Tl 2.69
Tl 0.0000 0.0000 0.0000  6 Ag 2.69
Ag 0.0000 0.5000 0.0000  2 Tl 2.69

Calculated values
As for the energy above the lowest structure with this stoichiometry: 222 meV/atom. The formation enthalpy at 0 K comes out at 0.065 eV/atom. The value obtained for the density of states at the Fermi level is 1.2 states/eV per cell.



Please write out number 4 again, unchanged.
Below is an optimized crystal structure of BaTlAg3, with properties calculated at the PBE level.

Cell: 5.3856 5.3856 5.3856 Å, 90.00 90.00 90.00°
With the nearest neighbours (Å) after each atom.
Sites, in units of the cell vectors:
Ba 0.5000 0.5000 0.5000  12 Ag 3.81
Ag 0.5000 0.0000 0.0000  2 Tl 2.69
Ag 0.0000 0.0000 0.5000  2 Tl 2.69
Tl 0.0000 0.0000 0.0000  6 Ag 2.69
Ag 0.0000 0.5000 0.0000  2 Tl 2.69

Calculated values
As for the energy above the lowest structure with this stoichiometry: 222 meV/atom. The formation enthalpy at 0 K comes out at 0.065 eV/atom. The value obtained for the density of states at the Fermi level is 1.2 states/eV per cell.



formation enthalpy at 0 K of number 3 (BaTl2Ag9)? -0.041 eV/atom